Compound: SrSi2BTe
Source: Alexandria
Functional: PBE
Structure: optimized geometry

## Properties
* ΔE_f (raw): 1942 meV per atom
* E_tot: -12.64 eV for the cell shown

Cell lengths 5.6690, 4.8789, 5.6690 Å; angles 90.00, 90.00, 90.00 degrees
Fractional coordinates of all 5 atoms:
Sr 0.0000 0.0000 0.0000
Si 0.0000 0.0000 0.5000
Si 0.5000 0.0000 0.0000
Te 0.5000 0.5000 0.5000
B 0.0000 0.5000 0.0000


Compound: SrTlSiB2
Source: Alexandria
Functional: PBE
Structure: optimized geometry

## Properties
* ΔE_f (raw): 1509 meV per atom
* E_tot: -15.28 eV for the cell shown

Cell lengths 4.6309, 5.5069, 4.6309 Å; angles 90.00, 90.00, 90.00 degrees
Fractional coordinates of all 5 atoms:
Sr 0.5000 0.5000 0.5000
Tl 0.0000 0.0000 0.0000
B 0.0000 0.0000 0.5000
B 0.5000 0.0000 0.0000
Si 0.0000 0.5000 0.0000


Number 1: volume 31.359 Å³ per atom, theoretical density 3.0 Mg/m³. Number 2: volume 23.619 Å³ per atom, theoretical density 4.8 Mg/m³.